[1]
A geometry-optimized Ta4NbRu structure, computed with PBE.

Values from the calculation:
The calculation puts the spin magnetization at 0.000 Bohr magnetons per cell. The excess energy over the best structure of this formula in the dataset comes out at 521 meV per atom. As for the density of states at the Fermi level: 6.2 states/eV/f.u.

abc: 9.3789 9.3789 5.4439
angles: 90.00 90.00 150.75
Closest atoms and distances in Å follow each position.
Fractional coordinates of all 12 atoms:
Ta (0.0612, 0.9388, 0.5000)  3 Ru 2.56-2.83, 1 Ta 2.79
Ta (0.2102, 0.7898, 0.3729)  7 Ta 2.68-2.97
Ta (0.2120, 0.7880, 0.8657)  1 Ru 2.54, 4 Ta 2.68-2.76
Ta (0.3711, 0.6289, 0.6870)  2 Nb 2.67-2.78, 2 Ru 2.70, 2 Ta 2.97
Ta (0.6289, 0.3711, 0.1870)  2 Nb 2.67-2.78, 2 Ru 2.70, 2 Ta 2.97
Ta (0.7880, 0.2120, 0.3657)  1 Ru 2.54, 4 Ta 2.68-2.76
Ta (0.7898, 0.2102, 0.8729)  7 Ta 2.68-2.97
Ta (0.9388, 0.0612, 0.0000)  3 Ru 2.56-2.83, 1 Ta 2.79
Nb (0.3674, 0.6326, 0.1765)  6 Ta 2.67-2.96
Nb (0.6326, 0.3674, 0.6765)  6 Ta 2.67-2.96
Ru (0.0795, 0.9205, 0.0165)  6 Ta 2.54-2.83
Ru (0.9205, 0.0795, 0.5165)  6 Ta 2.54-2.83

[2]
A geometry-optimized Ta6Nb2Ru structure, computed with PBE.

Values from the calculation:
The calculation puts the spin magnetization at 0.000 Bohr magnetons per cell. The excess energy over the best structure of this formula in the dataset comes out at 0 meV per atom. As for the density of states at the Fermi level: 9.7 states/eV/f.u.

abc: 8.0272 8.0272 2.8939
angles: 90.00 90.00 120.00
Closest atoms and distances in Å follow each position.
Fractional coordinates of all 9 atoms:
Ta (0.0000, 0.3297, 0.2768)  1 Ru 2.72, 2 Nb 2.81, 5 Ta 2.89-3.02
Ta (0.0000, 0.6703, 0.7232)  1 Ru 2.72, 2 Nb 2.81, 5 Ta 2.89-3.02
Ta (0.3297, 0.0000, 0.2768)  1 Ru 2.72, 2 Nb 2.81, 5 Ta 2.89-3.02
Ta (0.3297, 0.3297, 0.7232)  1 Ru 2.72, 2 Nb 2.81, 5 Ta 2.89-3.02
Ta (0.6703, 0.0000, 0.7232)  1 Ru 2.72, 2 Nb 2.81, 5 Ta 2.89-3.02
Ta (0.6703, 0.6703, 0.2768)  1 Ru 2.72, 2 Nb 2.81, 5 Ta 2.89-3.02
Nb (0.3333, 0.6667, 0.0000)  6 Ta 2.81, 2 Nb 2.89
Nb (0.6667, 0.3333, 0.0000)  6 Ta 2.81, 2 Nb 2.89
Ru (0.0000, 0.0000, 0.5000)  6 Ta 2.72, 2 Ru 2.89

[3]
A geometry-optimized TaNb14Ru structure, computed with PBE.

Values from the calculation:
The calculation puts the spin magnetization at 0.000 Bohr magnetons per cell. As for the density of states at the Fermi level: 22.6 states/eV/f.u. The value obtained for the total energy is -10.216 eV/atom.

abc: 6.5920 6.5920 6.5807
angles: 90.00 90.00 90.00
Closest atoms and distances in Å follow each position.
Fractional coordinates of all 16 atoms:
Ta (0.0000, 0.0000, 0.0000)  8 Nb 2.86
Nb (0.0000, 0.0000, 0.5000)  8 Nb 2.88
Nb (0.0000, 0.5000, 0.0000)  8 Nb 2.84
Nb (0.0000, 0.5000, 0.5000)  8 Nb 2.86
Nb (0.2527, 0.2527, 0.2473)  1 Ru 2.82, 6 Nb 2.84-2.88, 1 Ta 2.86
Nb (0.2527, 0.2527, 0.7527)  1 Ru 2.82, 6 Nb 2.84-2.88, 1 Ta 2.86
Nb (0.2527, 0.7473, 0.2473)  1 Ru 2.82, 6 Nb 2.84-2.88, 1 Ta 2.86
Nb (0.2527, 0.7473, 0.7527)  1 Ru 2.82, 6 Nb 2.84-2.88, 1 Ta 2.86
Nb (0.5000, 0.0000, 0.0000)  8 Nb 2.84
Nb (0.5000, 0.0000, 0.5000)  8 Nb 2.86
Nb (0.5000, 0.5000, 0.5000)  8 Nb 2.84
Nb (0.7473, 0.2527, 0.2473)  1 Ru 2.82, 6 Nb 2.84-2.88, 1 Ta 2.86
Nb (0.7473, 0.2527, 0.7527)  1 Ru 2.82, 6 Nb 2.84-2.88, 1 Ta 2.86
Nb (0.7473, 0.7473, 0.2473)  1 Ru 2.82, 6 Nb 2.84-2.88, 1 Ta 2.86
Nb (0.7473, 0.7473, 0.7527)  1 Ru 2.82, 6 Nb 2.84-2.88, 1 Ta 2.86
Ru (0.5000, 0.5000, 0.0000)  8 Nb 2.82

[4]
A geometry-optimized TaNbRu5 structure, computed with PBE.

Values from the calculation:
The calculation puts the spin magnetization at 0.003 Bohr magnetons per cell. As for the density of states at the Fermi level: 8.1 states/eV/f.u. The value obtained for the total energy is -9.607 eV/atom.

abc: 4.2804 4.2804 6.2047
angles: 90.00 90.00 90.00
Closest atoms and distances in Å follow each position.
Fractional coordinates of all 7 atoms:
Ta (0.0000, 0.0000, 0.0000)  12 Ru 2.70-3.03
Nb (0.5000, 0.5000, 0.5000)  8 Ru 2.59
Ru (0.0000, 0.5000, 0.2659)  2 Nb 2.59, 2 Ta 2.70, 2 Ru 2.70
Ru (0.0000, 0.5000, 0.7341)  2 Nb 2.59, 2 Ta 2.70, 2 Ru 2.70
Ru (0.5000, 0.0000, 0.2659)  2 Nb 2.59, 2 Ta 2.70, 2 Ru 2.70
Ru (0.5000, 0.0000, 0.7341)  2 Nb 2.59, 2 Ta 2.70, 2 Ru 2.70
Ru (0.5000, 0.5000, 0.0000)  8 Ru 2.70, 4 Ta 3.03

[5]
A geometry-optimized Ta4Nb3Ru structure, computed with PBE.

Values from the calculation:
The calculation puts the spin magnetization at 0.000 Bohr magnetons per cell. The excess energy over the best structure of this formula in the dataset comes out at 0 meV per atom. As for the density of states at the Fermi level: 6.9 states/eV/f.u.

abc: 3.2603 3.2603 13.2400
angles: 90.00 90.00 90.00
Closest atoms and distances in Å follow each position.
Fractional coordinates of all 8 atoms:
Ta (0.0000, 0.0000, 0.1193)  4 Ru 2.79, 4 Nb 2.85
Ta (0.0000, 0.0000, 0.3712)  8 Nb 2.84-2.87
Ta (0.0000, 0.0000, 0.6288)  8 Nb 2.84-2.87
Ta (0.0000, 0.0000, 0.8807)  4 Ru 2.79, 4 Nb 2.85
Nb (0.5000, 0.5000, 0.2462)  8 Ta 2.84-2.85
Nb (0.5000, 0.5000, 0.5000)  8 Ta 2.87
Nb (0.5000, 0.5000, 0.7538)  8 Ta 2.84-2.85
Ru (0.5000, 0.5000, 0.0000)  8 Ta 2.79

[6]
A geometry-optimized Ta4Nb9Ru11 structure, computed with PBE.

Values from the calculation:
The calculation puts the spin magnetization at 0.000 Bohr magnetons per cell. As for the density of states at the Fermi level: 20.1 states/eV/f.u. The value obtained for the total energy is -10.166 eV/atom.

abc: 11.5386 11.5386 3.0256
angles: 90.00 90.00 103.04
Closest atoms and distances in Å follow each position.
Fractional coordinates of all 24 atoms:
Ta (0.0842, 0.2409, 0.0000)  2 Nb 2.72-2.73, 6 Ru 2.79-2.95, 3 Ta 2.83-3.03
Ta (0.2409, 0.0842, 0.0000)  2 Nb 2.72-2.73, 6 Ru 2.79-2.95, 3 Ta 2.83-3.03
Ta (0.7591, 0.9158, 0.0000)  2 Nb 2.72-2.73, 6 Ru 2.79-2.95, 3 Ta 2.83-3.03
Ta (0.9158, 0.7591, 0.0000)  2 Nb 2.72-2.73, 6 Ru 2.79-2.95, 3 Ta 2.83-3.03
Nb (0.0000, 0.0000, 0.0000)  4 Ta 2.73, 4 Ru 2.85, 2 Nb 3.03
Nb (0.1037, 0.6529, 0.0000)  1 Ta 2.72, 8 Ru 2.77-2.85, 2 Nb 3.03
Nb (0.2965, 0.4869, 0.0000)  8 Ru 2.64-2.77
Nb (0.3471, 0.8963, 0.0000)  1 Ta 2.72, 8 Ru 2.77-2.85, 2 Nb 3.03
Nb (0.4869, 0.2965, 0.0000)  8 Ru 2.64-2.77
Nb (0.5131, 0.7035, 0.0000)  8 Ru 2.64-2.77
Nb (0.6529, 0.1037, 0.0000)  1 Ta 2.72, 8 Ru 2.77-2.85, 2 Nb 3.03
Nb (0.7035, 0.5131, 0.0000)  8 Ru 2.64-2.77
Nb (0.8963, 0.3471, 0.0000)  1 Ta 2.72, 8 Ru 2.77-2.85, 2 Nb 3.03
Ru (0.1040, 0.4479, 0.5000)  6 Nb 2.64-2.85, 2 Ta 2.79, 1 Ru 2.92
Ru (0.1335, 0.8665, 0.5000)  6 Nb 2.85, 4 Ta 2.95, 2 Ru 3.03
Ru (0.2923, 0.2923, 0.5000)  4 Nb 2.70, 4 Ta 2.79, 1 Ru 2.98
Ru (0.3103, 0.6897, 0.5000)  8 Nb 2.76-2.77, 2 Ru 3.03
Ru (0.4479, 0.1040, 0.5000)  6 Nb 2.64-2.85, 2 Ta 2.79, 1 Ru 2.92
Ru (0.5000, 0.5000, 0.5000)  8 Nb 2.77, 4 Ru 2.98-3.03
Ru (0.5521, 0.8960, 0.5000)  6 Nb 2.64-2.85, 2 Ta 2.79, 1 Ru 2.92
Ru (0.6897, 0.3103, 0.5000)  8 Nb 2.76-2.77, 2 Ru 3.03
Ru (0.7077, 0.7077, 0.5000)  4 Nb 2.70, 4 Ta 2.79, 1 Ru 2.98
Ru (0.8665, 0.1335, 0.5000)  6 Nb 2.85, 4 Ta 2.95, 2 Ru 3.03
Ru (0.8960, 0.5521, 0.5000)  6 Nb 2.64-2.85, 2 Ta 2.79, 1 Ru 2.92

[7]
A geometry-optimized Ta2Nb7Ru2 structure, computed with PBE.

Values from the calculation:
The calculation puts the spin magnetization at 0.000 Bohr magnetons per cell. As for the density of states at the Fermi level: 12.8 states/eV/f.u. The value obtained for the total energy is -10.213 eV/atom.

abc: 5.4214 5.4214 7.2119
angles: 99.45 99.45 104.53
Closest atoms and distances in Å follow each position.
Fractional coordinates of all 11 atoms:
Ta (0.1882, 0.8118, 0.0000)  8 Nb 2.79-3.03, 2 Ru 2.80
Ta (0.8118, 0.1882, 0.0000)  8 Nb 2.79-3.03, 2 Ru 2.80
Nb (0.0235, 0.4030, 0.6772)  1 Ru 2.60, 1 Ta 2.79
Nb (0.3755, 0.3755, 0.1099)  2 Nb 2.58-2.71, 1 Ru 2.76
Nb (0.4030, 0.0235, 0.6772)  1 Ru 2.60, 1 Ta 2.79
Nb (0.5000, 0.5000, 0.5000)  2 Ru 2.65, 2 Nb 2.71
Nb (0.5970, 0.9765, 0.3228)  1 Ru 2.60, 1 Ta 2.79
Nb (0.6245, 0.6245, 0.8901)  2 Nb 2.58-2.71, 1 Ru 2.76
Nb (0.9765, 0.5970, 0.3228)  1 Ru 2.60, 1 Ta 2.79
Ru (0.0938, 0.0938, 0.3296)  4 Nb 2.60-2.76, 2 Ta 2.80
Ru (0.9062, 0.9062, 0.6704)  4 Nb 2.60-2.76, 2 Ta 2.80

[8]
A geometry-optimized TaNb4Ru structure, computed with PBE.

Values from the calculation:
The calculation puts the spin magnetization at 0.000 Bohr magnetons per cell. The excess energy over the best structure of this formula in the dataset comes out at 0 meV per atom. As for the density of states at the Fermi level: 5.3 states/eV/f.u.

abc: 6.3618 4.6012 7.3724
angles: 90.00 90.00 90.00
Closest atoms and distances in Å follow each position.
Fractional coordinates of all 12 atoms:
Ta (0.2500, 0.0000, 0.1301)  1 Ru 2.59, 4 Nb 2.87
Ta (0.7500, 0.0000, 0.8699)  1 Ru 2.59, 4 Nb 2.87
Nb (0.0000, 0.0000, 0.5000)  2 Ru 2.60, 4 Nb 2.80
Nb (0.0149, 0.5000, 0.8214)  3 Nb 2.64-2.93, 2 Ru 2.76, 2 Ta 2.87
Nb (0.2500, 0.5000, 0.4801)  8 Nb 2.79-2.93
Nb (0.4851, 0.5000, 0.8214)  3 Nb 2.64-2.93, 2 Ru 2.76, 2 Ta 2.87
Nb (0.5000, 0.0000, 0.5000)  2 Ru 2.60, 4 Nb 2.80
Nb (0.5149, 0.5000, 0.1786)  3 Nb 2.64-2.93, 2 Ru 2.76, 2 Ta 2.87
Nb (0.7500, 0.5000, 0.5199)  8 Nb 2.79-2.93
Nb (0.9851, 0.5000, 0.1786)  3 Nb 2.64-2.93, 2 Ru 2.76, 2 Ta 2.87
Ru (0.2500, 0.0000, 0.7785)  1 Ta 2.59, 6 Nb 2.60-2.76
Ru (0.7500, 0.0000, 0.2215)  1 Ta 2.59, 6 Nb 2.60-2.76

[9]
A geometry-optimized TaNb2Ru2 structure, computed with PBE.

Values from the calculation:
The calculation puts the spin magnetization at 0.000 Bohr magnetons per cell. The excess energy over the best structure of this formula in the dataset comes out at 0 meV per atom. As for the density of states at the Fermi level: 6.9 states/eV/f.u.

abc: 7.4407 7.4407 3.0687
angles: 90.00 90.00 90.00
Closest atoms and distances in Å follow each position.
Fractional coordinates of all 10 atoms:
Ta (0.0000, 0.0000, 0.0000)  4 Ru 2.90, 2 Ta 3.07, 8 Nb 3.17
Ta (0.5000, 0.5000, 0.0000)  4 Ru 2.90, 2 Ta 3.07, 8 Nb 3.17
Nb (0.1674, 0.3326, 0.5000)  6 Ru 2.59-2.73
Nb (0.3326, 0.8326, 0.5000)  6 Ru 2.59-2.73
Nb (0.6674, 0.1674, 0.5000)  6 Ru 2.59-2.73
Nb (0.8326, 0.6674, 0.5000)  6 Ru 2.59-2.73
Ru (0.1346, 0.6346, 0.0000)  6 Nb 2.59-2.73, 1 Ru 2.83, 2 Ta 2.90
Ru (0.3654, 0.1346, 0.0000)  6 Nb 2.59-2.73, 1 Ru 2.83, 2 Ta 2.90
Ru (0.6346, 0.8654, 0.0000)  6 Nb 2.59-2.73, 1 Ru 2.83, 2 Ta 2.90
Ru (0.8654, 0.3654, 0.0000)  6 Nb 2.59-2.73, 1 Ru 2.83, 2 Ta 2.90

[10]
A geometry-optimized Ta6NbRu3 structure, computed with PBE.

Values from the calculation:
The calculation puts the spin magnetization at 0.000 Bohr magnetons per cell. As for the density of states at the Fermi level: 5.6 states/eV/f.u. The value obtained for the total energy is -11.189 eV/atom.

abc: 7.9362 4.5554 9.6386
angles: 90.00 105.46 90.00
Closest atoms and distances in Å follow each position.
Fractional coordinates of all 20 atoms:
Ta (0.0487, 0.2500, 0.4006)  7 Ru 2.72-2.78, 1 Ta 2.78
Ta (0.1464, 0.7500, 0.2014)  5 Ru 2.73-2.82, 2 Ta 2.80, 1 Nb 2.83
Ta (0.2457, 0.2500, 0.9997)  4 Ru 2.77-2.81, 1 Ta 2.81, 3 Nb 2.82-2.83
Ta (0.3460, 0.7500, 0.7980)  4 Ru 2.75-2.81, 3 Nb 2.81-2.82, 1 Ta 2.85
Ta (0.3477, 0.2500, 0.3025)  8 Ta 2.76-2.85
Ta (0.4469, 0.2500, 0.5992)  3 Ta 2.76-2.81, 1 Nb 2.78, 4 Ru 2.81-2.88
Ta (0.5531, 0.7500, 0.4008)  3 Ta 2.76-2.81, 1 Nb 2.78, 4 Ru 2.81-2.88
Ta (0.6523, 0.7500, 0.6975)  8 Ta 2.76-2.85
Ta (0.6540, 0.2500, 0.2020)  4 Ru 2.75-2.81, 3 Nb 2.81-2.82, 1 Ta 2.85
Ta (0.7543, 0.7500, 0.0003)  4 Ru 2.77-2.81, 1 Ta 2.81, 3 Nb 2.82-2.83
Ta (0.8536, 0.2500, 0.7986)  5 Ru 2.73-2.82, 2 Ta 2.80, 1 Nb 2.83
Ta (0.9513, 0.7500, 0.5994)  7 Ru 2.72-2.78, 1 Ta 2.78
Nb (0.4507, 0.7500, 0.1020)  8 Ta 2.78-2.83
Nb (0.5493, 0.2500, 0.8980)  8 Ta 2.78-2.83
Ru (0.0491, 0.7500, 0.8982)  8 Ta 2.77-2.82
Ru (0.1436, 0.2500, 0.6975)  8 Ta 2.73-2.81
Ru (0.2431, 0.7500, 0.5024)  8 Ta 2.72-2.88
Ru (0.7569, 0.2500, 0.4976)  8 Ta 2.72-2.88
Ru (0.8564, 0.7500, 0.3025)  8 Ta 2.73-2.81
Ru (0.9509, 0.2500, 0.1018)  8 Ta 2.77-2.82